A geometry-optimized Sc9Tl3C2 structure, computed with PBE-GGA.

Its calculated total energy is -89.71 eV/cell. The value obtained for the density of states at the Fermi level is 8.87 states/eV/f.u. The energy relative to the elements comes out at -0.513 eV/atom. As for the spin magnetization: 0.00 μB per formula unit.

The structure belongs to space group P-3m1 (No. 164); the cell edges are 6.4455, 6.4455 and 7.8963 Å and the angles 90.00°, 90.00° and 120.00°. The distinct sites, in fractional coordinates, are Sc at (0.0000, 0.5000, 0.0000), Sc at (0.1705, 0.3410, 0.6715), Tl at (0.0000, 0.0000, 0.0000), Tl at (0.3333, 0.6667, 0.3343) and C at (0.3333, 0.6667, 0.8305).